The following is a PBE calculation of an optimized crystal structure of TiVH2, from Alexandria via LeMat-Bulk.

extended XYZ file:
```
8
Lattice="2.800 0.297 0.503 0.626 5.531 1.557 -0.639 -1.114 4.216" Properties=species:S:1:pos:R:3 pbc="T T T"
Ti 1.638 2.593 5.474
Ti 3.050 4.888 3.991
V 0.119 -0.040 4.548
V 1.139 1.690 2.857
H 1.826 5.011 2.586
H 0.410 2.778 4.084
H 1.479 4.406 4.878
H 0.701 3.286 2.160
```

## Properties
As for the total energy: -0.2278 Ha/atom.